Computed, not measured: a geometry-optimized Hf2MgRu2 structure at the GGA-PBE level of DFT.

The energy is -8.413 eV/atom. The formation energy is -2.0 eV per formula unit.

The structure belongs to space group P4/mbm (No. 127); the cell edges are 7.5831, 7.5831 and 3.2187 Å and the angles 90.00°, 90.00° and 90.00°. The inequivalent atoms are Hf at (0.1512, 0.3488, 0.0000), Mg at (0.0000, 0.0000, 0.5000) and Ru at (0.1450, 0.6450, 0.5000).